## ScUSe2 (GGA-PBE)

Data for a geometry-optimized ScUSe2 structure.

a = 7.459 Å, b = 7.459 Å, c = 7.459 Å
α = 29.49°, β = 29.49°, γ = 29.49°
Positions (direct):
Sc1 0.000 0.000 0.000
U1 0.826 0.826 0.826
Se1 0.405 0.405 0.405
Se2 0.587 0.587 0.587

## Properties
total energy	-7.422	eV/atom
symmetry	No. 160
formation energy from raw total energies	-1274	meV per atom
energy above the most stable polymorph in this dataset	0.000	eV/atom

---

## ScU2Se6 (GGA-PBE)

Data for a geometry-optimized ScU2Se6 structure.

a = 6.553 Å, b = 6.553 Å, c = 12.343 Å
α = 90.00°, β = 90.00°, γ = 90.00°
Positions (direct):
Sc1 0.000 0.000 0.000
Sc2 0.500 0.500 0.500
U1 0.000 0.000 0.331
U2 0.000 0.000 0.669
U3 0.500 0.500 0.169
U4 0.500 0.500 0.831
Se1 0.196 0.196 0.161
Se2 0.196 0.196 0.839
Se3 0.199 0.199 0.500
Se4 0.301 0.699 0.000
Se5 0.304 0.696 0.339
Se6 0.304 0.696 0.661
Se7 0.696 0.304 0.339
Se8 0.696 0.304 0.661
Se9 0.699 0.301 0.000
Se10 0.801 0.801 0.500
Se11 0.804 0.804 0.161
Se12 0.804 0.804 0.839

## Properties
total energy	-6.675	eV/atom
symmetry	No. 136
formation energy from raw total energies	-1140	meV per atom
energy above the most stable polymorph in this dataset	0.101	eV/atom

---

## Sc3USe6 (GGA-PBE)

Data for a geometry-optimized Sc3USe6 structure.

a = 11.195 Å, b = 3.912 Å, c = 11.374 Å
α = 90.00°, β = 109.35°, γ = 90.00°
Positions (direct):
Sc1 0.061 0.250 0.161
Sc2 0.178 0.750 0.499
Sc3 0.344 0.250 0.915
Sc4 0.656 0.750 0.085
Sc5 0.822 0.250 0.501
Sc6 0.939 0.750 0.839
U1 0.451 0.250 0.301
U2 0.549 0.750 0.699
Se1 0.021 0.250 0.383
Se2 0.109 0.250 0.940
Se3 0.235 0.750 0.272
Se4 0.299 0.750 0.748
Se5 0.380 0.250 0.534
Se6 0.416 0.750 0.092
Se7 0.584 0.250 0.908
Se8 0.620 0.750 0.466
Se9 0.701 0.250 0.252
Se10 0.765 0.250 0.728
Se11 0.891 0.750 0.060
Se12 0.979 0.750 0.617

## Properties
total energy	-6.663	eV/atom
symmetry	No. 11
formation energy from raw total energies	-1544	meV per atom

---

## ScVSe3 (GGA-PBE)

Data for a geometry-optimized ScVSe3 structure.

a = 5.097 Å, b = 5.097 Å, c = 5.097 Å
α = 90.00°, β = 90.00°, γ = 90.00°
Positions (direct):
Sc1 0.000 0.000 0.000
V1 0.500 0.500 0.500
Se1 0.000 0.000 0.500
Se2 0.000 0.500 0.000
Se3 0.500 0.000 0.000

## Properties
total energy	-5.320	eV/atom
symmetry	No. 221
formation energy from raw total energies	-140	meV per atom
energy above the most stable polymorph in this dataset	0.280	eV/atom